Entry 1:
Tb2Pr3Ho6Pu: optimized geometry, PBE.

Calculated values
The calculation puts the density of states at the Fermi level at 44.9 states/eV per cell. The volume is 766 Å³ per cell. For the total energy, the calculation gives -129.74 eV per cell. The calculated formation energy is 4.2 kJ per mole of atoms.

Cell: 6.1881 10.7223 11.7322 Å, 90.00 100.14 90.00°
Last column: nearest neighbours and their distance in Å.
Space group C2/m (No. 12)
Asymmetric unit:
1 Tb 0.0000 0.1666 0.0000 (multiplicity 4)  6 Ho 3.50, 3 Tb 3.57, 3 Pu 3.57
2 Pr 0.0000 0.0000 0.5000 (multiplicity 2)  6 Pr 3.57-3.58, 6 Ho 3.60-3.62
3 Pr 0.0000 0.3328 0.5000 (multiplicity 4)  6 Pr 3.57-3.58, 6 Ho 3.60-3.62
4 Ho 0.2458 0.3356 0.2441 (multiplicity 8)  1 Pu 3.48, 2 Tb 3.50, 6 Ho 3.53-3.60, 3 Pr 3.60-3.62
5 Ho 0.2475 0.5000 0.7558 (multiplicity 4)  1 Pu 3.48, 2 Tb 3.50, 6 Ho 3.53-3.60, 3 Pr 3.60-3.62
6 Pu 0.0000 0.5000 0.0000 (multiplicity 2)  6 Ho 3.48, 6 Tb 3.57

Entry 2:
PrHo3Pu2Te6: optimized geometry, PBE.

Calculated values
The calculation puts the density of states at the Fermi level at 46.6 states/eV per cell. The volume is 723 Å³ per cell. For the total energy, the calculation gives -162.11 eV per cell. The energy relative to the elements, uncorrected comes out at -1450 kJ/mol of formula units.

Cell: 19.2323 4.3738 8.8515 Å, 90.00 103.85 90.00°
Last column: nearest neighbours and their distance in Å.
Space group C2/m (No. 12)
Asymmetric unit:
1 Pr 0.0000 0.0000 0.0000 (multiplicity 2)  6 Te 3.18-3.19
2 Ho 0.0000 0.0000 0.5000 (multiplicity 2)  6 Te 3.05-3.09
3 Ho 0.1644 0.5000 0.8335 (multiplicity 4)  6 Te 3.05-3.09
4 Pu 0.1662 0.5000 0.3325 (multiplicity 4)  6 Te 3.12-3.15
5 Te 0.0009 0.5000 0.7398 (multiplicity 4)  3 Ho 3.05, 1 Pu 3.12, 2 Pr 3.18
6 Te 0.1654 0.0000 0.5873 (multiplicity 4)  3 Ho 3.09, 3 Pu 3.14-3.15
7 Te 0.1710 0.0000 0.0811 (multiplicity 4)  3 Ho 3.07-3.08, 2 Pu 3.14, 1 Pr 3.19

Entry 3:
PrHo2Pu3Te6: optimized geometry, PBE.

Calculated values
The calculation puts the density of states at the Fermi level at 69.5 states/eV per cell. The volume is 923 Å³ per cell. For the total energy, the calculation gives -171.53 eV per cell. The energy relative to the elements, uncorrected comes out at -963 kJ/mol of formula units.

Cell: 29.7201 4.0736 7.7310 Å, 90.00 99.42 90.00°
Last column: nearest neighbours and their distance in Å.
Space group C2/m (No. 12)
Asymmetric unit:
1 Pr 0.0000 0.0000 0.0000 (multiplicity 2)  4 Te 3.22
2 Ho 0.2383 0.0000 0.2340 (multiplicity 4)  6 Te 3.04-3.16, 1 Pu 3.33
3 Pu 0.0000 0.0000 0.5000 (multiplicity 2)  4 Te 3.15
4 Pu 0.1248 0.0000 0.1811 (multiplicity 4)  6 Te 3.20-3.27, 1 Ho 3.33
5 Te 0.0513 0.5000 0.2898 (multiplicity 4)  4 Pu 3.15-3.20, 2 Pr 3.22
6 Te 0.1824 0.5000 0.9685 (multiplicity 4)  3 Ho 3.04-3.16, 2 Pu 3.27
7 Te 0.1881 0.5000 0.4425 (multiplicity 4)  3 Ho 3.04-3.12, 2 Pu 3.24

Entry 4:
Pr2HoPu3Te6: optimized geometry, PBE.

Calculated values
The calculation puts the density of states at the Fermi level at 66.3 states/eV per cell. The volume is 748 Å³ per cell. For the total energy, the calculation gives -182.00 eV per cell. The energy relative to the elements, uncorrected comes out at -1449 kJ/mol of formula units.

Cell: 19.4439 4.4302 8.9381 Å, 90.00 103.82 90.00°
Last column: nearest neighbours and their distance in Å.
Space group C2/m (No. 12)
Asymmetric unit:
1 Pr 0.1675 0.0000 0.3367 (multiplicity 4)  6 Te 3.18-3.21
2 Ho 0.0000 0.5000 0.0000 (multiplicity 2)  6 Te 3.09-3.11
3 Pu 0.0000 0.5000 0.5000 (multiplicity 2)  6 Te 3.10-3.18
4 Pu 0.1695 0.0000 0.8353 (multiplicity 4)  6 Te 3.10-3.15
5 Te 0.0027 0.0000 0.7569 (multiplicity 4)  2 Ho 3.11, 3 Pu 3.15-3.18, 1 Pr 3.21
6 Te 0.1636 0.5000 0.0774 (multiplicity 4)  1 Ho 3.09, 3 Pu 3.12-3.15, 2 Pr 3.19
7 Te 0.1643 0.5000 0.5899 (multiplicity 4)  3 Pu 3.10, 3 Pr 3.18

Entry 5:
Pr3HoPu2Te6: optimized geometry, PBE.

Calculated values
The calculation puts the density of states at the Fermi level at 48.9 states/eV per cell. The volume is 755 Å³ per cell. For the total energy, the calculation gives -164.28 eV per cell. The energy relative to the elements, uncorrected comes out at -1516 kJ/mol of formula units.

Cell: 19.5122 4.4396 8.9805 Å, 90.00 103.91 90.00°
Last column: nearest neighbours and their distance in Å.
Space group C2/m (No. 12)
Asymmetric unit:
1 Pr 0.0000 0.0000 0.0000 (multiplicity 2)  6 Te 3.20-3.22
2 Pr 0.1683 0.5000 0.3341 (multiplicity 4)  6 Te 3.20-3.21
3 Ho 0.0000 0.0000 0.5000 (multiplicity 2)  6 Te 3.07-3.09
4 Pu 0.1661 0.5000 0.8332 (multiplicity 4)  6 Te 3.12-3.13
5 Te 0.0008 0.5000 0.7401 (multiplicity 4)  2 Ho 3.09, 1 Pu 3.13, 3 Pr 3.20-3.22
6 Te 0.1623 0.0000 0.5868 (multiplicity 4)  1 Ho 3.07, 2 Pu 3.12, 3 Pr 3.20-3.21
7 Te 0.1688 0.0000 0.0783 (multiplicity 4)  3 Pu 3.12-3.13, 3 Pr 3.20

Entry 6:
Pr3HoPu3Te8: optimized geometry, PBE.

Calculated values
The calculation puts the density of states at the Fermi level at 119.9 states/eV per cell. The volume is 1514 Å³ per cell. For the total energy, the calculation gives -320.01 eV per cell. The energy relative to the elements, uncorrected comes out at -1893 kJ/mol of formula units.

Cell: 8.9175 8.9175 21.9790 Å, 90.00 90.00 120.00°
Last column: nearest neighbours and their distance in Å.
Space group R-3m (No. 166, hexagonal axes)
Asymmetric unit:
1 Pr 0.0000 0.5000 0.0000 (multiplicity 9)  6 Te 3.19-3.20
2 Ho 0.0000 0.0000 0.5000 (multiplicity 3)  6 Te 3.13
3 Pu 0.0000 0.5000 0.5000 (multiplicity 9)  6 Te 3.12-3.13
4 Te 0.0000 0.0000 0.2471 (multiplicity 6)  3 Pu 3.12, 3 Pr 3.20
5 Te 0.9999 0.4999 0.2478 (multiplicity 18)  2 Pu 3.13, 1 Ho 3.13, 2 Pr 3.19

Entry 7:
Pr2HoPuTe5: optimized geometry, PBE.

Calculated values
The calculation puts the density of states at the Fermi level at 21.2 states/eV per cell. The volume is 349 Å³ per cell. For the total energy, the calculation gives -51.19 eV per cell. The energy relative to the elements, uncorrected comes out at -676 kJ/mol of formula units.

Cell: 5.4557 5.4557 11.7343 Å, 90.00 90.00 90.00°
Last column: nearest neighbours and their distance in Å.
Space group P4/mmm (No. 123)
Asymmetric unit:
1 Pr 0.0000 0.0000 0.1955 (multiplicity 2)  9 Te 3.56-3.91
2 Ho 0.5000 0.5000 0.0000 (multiplicity 1)  6 Te 2.73-2.93
3 Pu 0.5000 0.5000 0.5000 (multiplicity 1)  2 Te 2.94
4 Te 0.0000 0.0000 0.5000 (multiplicity 1)  2 Pr 3.57, 4 Pu 3.86
5 Te 0.0000 0.5000 0.0000 (multiplicity 2)  2 Ho 2.73
6 Te 0.5000 0.5000 0.2498 (multiplicity 2)  1 Ho 2.93, 1 Pu 2.94

Entry 8:
PrHoPuTl: optimized geometry, PBE.

Calculated values
The calculation puts the density of states at the Fermi level at 43.0 states/eV per cell. The volume is 477 Å³ per cell. For the total energy, the calculation gives -103.05 eV per cell. The calculated formation energy is 7.0 kJ per mole of atoms.

Cell: 7.8120 7.8120 7.8120 Å, 90.00 90.00 90.00°
Last column: nearest neighbours and their distance in Å.
Space group F-43m (No. 216)
Asymmetric unit:
1 Pr 0.0000 0.0000 0.0000 (multiplicity 4)  4 Tl 3.38, 4 Ho 3.38
2 Ho 0.2500 0.2500 0.7500 (multiplicity 4)  4 Pr 3.38, 4 Pu 3.38
3 Pu 0.0000 0.0000 0.5000 (multiplicity 4)  4 Tl 3.38, 4 Ho 3.38
4 Tl 0.2500 0.2500 0.2500 (multiplicity 4)  4 Pr 3.38, 4 Pu 3.38

Entry 9:
Pr2Ho6Tm3Pu: optimized geometry, PBE.

Calculated values
The calculation puts the density of states at the Fermi level at 48.3 states/eV per cell. The volume is 749 Å³ per cell. For the total energy, the calculation gives -128.25 eV per cell. The calculated formation energy is 5.2 kJ per mole of atoms.

Cell: 6.1291 10.6257 11.6851 Å, 90.00 100.13 90.00°
Last column: nearest neighbours and their distance in Å.
Space group C2/m (No. 12)
Asymmetric unit:
1 Pr 0.0000 0.1665 0.0000 (multiplicity 4)  3 Pr 3.54, 3 Pu 3.54, 6 Ho 3.56-3.57
2 Ho 0.2450 0.5000 0.7469 (multiplicity 4)  3 Tm 3.49-3.51, 6 Ho 3.49-3.57, 1 Pu 3.54, 2 Pr 3.56
3 Ho 0.2485 0.3355 0.2529 (multiplicity 8)  3 Tm 3.49-3.52, 6 Ho 3.49-3.57, 1 Pu 3.54, 2 Pr 3.56-3.57
4 Tm 0.0000 0.0000 0.5000 (multiplicity 2)  6 Ho 3.49-3.51, 6 Tm 3.54
5 Tm 0.0000 0.3333 0.5000 (multiplicity 4)  6 Ho 3.49-3.52, 6 Tm 3.54
6 Pu 0.0000 0.5000 0.0000 (multiplicity 2)  6 Pr 3.54, 6 Ho 3.54

Entry 10:
PrHoTmPu: optimized geometry, PBE.

Calculated values
The calculation puts the density of states at the Fermi level at 47.3 states/eV per cell. The volume is 504 Å³ per cell. For the total energy, the calculation gives -109.35 eV per cell. The calculated formation energy is 19.9 kJ per mole of atoms.

Cell: 7.9576 7.9576 7.9576 Å, 90.00 90.00 90.00°
Last column: nearest neighbours and their distance in Å.
Space group F-43m (No. 216)
Asymmetric unit:
1 Pr 0.0000 0.0000 0.0000 (multiplicity 4)  4 Ho 3.45, 4 Tm 3.45
2 Ho 0.2500 0.2500 0.7500 (multiplicity 4)  4 Pr 3.45, 4 Pu 3.45
3 Tm 0.2500 0.2500 0.2500 (multiplicity 4)  4 Pr 3.45, 4 Pu 3.45
4 Pu 0.0000 0.0000 0.5000 (multiplicity 4)  4 Tm 3.45, 4 Ho 3.45

Entry 11:
Pr3Y6Ho2Pu: optimized geometry, PBE.

Calculated values
The calculation puts the density of states at the Fermi level at 46.8 states/eV per cell. The volume is 779 Å³ per cell. For the total energy, the calculation gives -152.10 eV per cell. The calculated formation energy is 4.5 kJ per mole of atoms.

Cell: 6.2188 10.7742 11.8145 Å, 90.00 100.12 90.00°
Last column: nearest neighbours and their distance in Å.
Space group C2/m (No. 12)
Asymmetric unit:
1 Pr 0.0000 0.0000 0.0000 (multiplicity 2)  6 Pr 3.59, 6 Y 3.62-3.64
2 Pr 0.0000 0.3329 0.0000 (multiplicity 4)  6 Pr 3.59-3.60, 6 Y 3.62-3.64
3 Y 0.2459 0.3354 0.7437 (multiplicity 8)  1 Pu 3.50, 2 Ho 3.52, 6 Y 3.55-3.61, 3 Pr 3.62-3.64
4 Y 0.2481 0.5000 0.2562 (multiplicity 4)  1 Pu 3.50, 2 Ho 3.52, 6 Y 3.55-3.61, 3 Pr 3.63-3.64
5 Ho 0.0000 0.1666 0.5000 (multiplicity 4)  6 Y 3.52, 3 Ho 3.59, 3 Pu 3.59
6 Pu 0.0000 0.5000 0.5000 (multiplicity 2)  6 Y 3.50, 6 Ho 3.59

Entry 12:
Pr3Y2Ho6Pu: optimized geometry, PBE.

Calculated values
The calculation puts the density of states at the Fermi level at 46.0 states/eV per cell. The volume is 769 Å³ per cell. For the total energy, the calculation gives -136.97 eV per cell. The calculated formation energy is 4.7 kJ per mole of atoms.

Cell: 6.1925 10.7280 11.7584 Å, 90.00 100.12 90.00°
Last column: nearest neighbours and their distance in Å.
Space group C2/m (No. 12)
Asymmetric unit:
1 Pr 0.0000 0.0000 0.0000 (multiplicity 2)  6 Pr 3.57-3.58, 6 Ho 3.60-3.62
2 Pr 0.0000 0.3328 0.0000 (multiplicity 4)  6 Pr 3.57-3.59, 6 Ho 3.60-3.62
3 Y 0.0000 0.1666 0.5000 (multiplicity 4)  6 Ho 3.51, 3 Y 3.57-3.58, 3 Pu 3.58
4 Ho 0.2457 0.3358 0.7445 (multiplicity 8)  1 Pu 3.48, 2 Y 3.51, 6 Ho 3.52-3.60, 3 Pr 3.60-3.62
5 Ho 0.2470 0.5000 0.2553 (multiplicity 4)  1 Pu 3.49, 2 Y 3.51, 6 Ho 3.52-3.60, 3 Pr 3.60-3.62
6 Pu 0.0000 0.5000 0.5000 (multiplicity 2)  6 Ho 3.48-3.49, 6 Y 3.58